(1)
A plane-wave DFT calculation with GGA-PBE was carried out for a relaxed structure of CeNi4Sb.

Calculated values
- DFT total energy (eV per atom) = -5.8765
- raw formation energy (eV/atom) = -0.35
- crystal system = cubic

Geometry as POSCAR:
```
CeNi4Sb
1.0
-1.7757 -4.3728 -1.7679
0.7157 -4.2507 2.6113
-3.8953 -2.2438 2.2786
Ni Sb Ce
4 1 1
Direct
0.6253 0.6253 0.6253
0.6253 0.6253 0.1240
0.1240 0.6253 0.6253
0.6253 0.1240 0.6253
0.0000 0.0000 0.0000
0.2500 0.2500 0.2500
```

(2)
A plane-wave DFT calculation with GGA-PBE was carried out for a relaxed structure of Ca2GeSe.

Calculated values
- DFT total energy (eV per atom) = -3.8487
- ΔE to the lowest computed polymorph (eV/f.u.) = 1.18
- raw formation energy (eV/atom) = -0.82
- crystal system = cubic

Geometry as POSCAR:
```
Ca2GeSe
1.0
2.3439 -4.1348 2.1119
-2.8341 -3.6928 2.3197
-0.4883 -4.6798 -2.2161
Ca Se Ge
2 1 1
Direct
0.7500 0.7500 0.7500
0.2500 0.2500 0.2500
0.5000 0.5000 0.5000
0.0000 0.0000 0.0000
```

(3)
A plane-wave DFT calculation with GGA-PBE was carried out for a relaxed structure of Na2LuTl.

Calculated values
- DFT total energy (eV per atom) = -2.1984
- DFT formation energy (kJ/mol of formula units) = 71
- crystal system = trigonal

Geometry as POSCAR:
```
Na2LuTl
1.0
3.4033 0.0000 0.0000
1.7016 2.9473 0.0000
1.7016 0.9824 12.3685
Tl Lu Na
1 1 2
Direct
0.5000 0.5000 0.5000
0.0000 0.0000 0.0000
0.9094 0.9094 0.2718
0.0906 0.0906 0.7282
```

(4)
A plane-wave DFT calculation with GGA-PBE was carried out for a relaxed structure of AcSm2Pt.

Calculated values
- DFT total energy (eV per atom) = -5.4246
- DFT formation energy (kJ/mol of formula units) = -204
- ΔE to the lowest computed polymorph (eV/f.u.) = 0.41
- crystal system = trigonal

Geometry as POSCAR:
```
AcSm2Pt
1.0
4.1245 0.0000 0.0000
2.0622 3.5719 0.0000
2.0622 1.1906 9.4407
Pt Sm Ac
1 2 1
Direct
0.6656 0.6656 0.0031
0.2768 0.2768 0.1697
0.0556 0.0556 0.8332
0.5020 0.5020 0.4940
```